# 1
# NaIrSCl2

A relaxed NaIrSCl2 crystal (PBE, Alexandria via LeMat-Bulk).

Cell and atoms, written as POSCAR:
```
NaIrSCl2
1.0
4.778 0.000 0.000
0.000 4.778 0.000
0.000 0.000 5.234
Na Ir S Cl
1 1 1 2
direct
0.000 0.000 0.000
0.500 0.500 0.500
0.000 0.000 0.500
0.000 0.500 0.000
0.500 0.000 0.000
```

Uncorrected formation energy ... 4.9 eV/f.u.
Energy above the most stable polymorph in this dataset ... 1450 meV/atom
Crystal system ... tetragonal

---

# 2
# Bi3PdAu

A relaxed Bi3PdAu crystal (PBE, Alexandria via LeMat-Bulk).

Cell and atoms, written as POSCAR:
```
Bi3PdAu
1.0
5.712 0.000 0.000
0.000 6.600 0.000
-1.505 0.000 6.808
Bi Pd Au
6 2 2
direct
0.119 0.250 0.119
0.282 0.007 0.644
0.282 0.493 0.644
0.718 0.507 0.356
0.718 0.993 0.356
0.881 0.750 0.881
0.124 0.750 0.288
0.876 0.250 0.712
0.416 0.750 0.011
0.584 0.250 0.989
```

Energy of formation ... -0.054 eV/atom
Energy above the most stable polymorph in this dataset ... 17 meV/atom
Crystal system ... monoclinic

---

# 3
# La3BeGaS7

A relaxed La3BeGaS7 crystal (PBE, Alexandria via LeMat-Bulk).

Cell and atoms, written as POSCAR:
```
La3BeGaS7
1.0
10.153 0.000 0.000
-5.077 8.793 0.000
0.000 0.000 6.109
La Be Ga S
6 2 2 14
direct
0.143 0.751 0.000
0.249 0.392 0.000
0.392 0.143 0.500
0.608 0.857 0.000
0.751 0.608 0.500
0.857 0.249 0.500
0.333 0.667 0.588
0.667 0.333 0.088
0.000 0.000 0.211
0.000 0.000 0.711
0.084 0.860 0.438
0.112 0.521 0.716
0.140 0.223 0.438
0.223 0.084 0.938
0.333 0.667 0.239
0.409 0.888 0.716
0.479 0.591 0.716
0.521 0.409 0.216
0.591 0.112 0.216
0.667 0.333 0.739
0.777 0.916 0.438
0.860 0.777 0.938
0.888 0.479 0.216
0.916 0.140 0.938
```

Uncorrected formation energy ... -19.5 eV/f.u.
Energy above the most stable polymorph in this dataset ... 85 meV/atom
Crystal system ... hexagonal

---

# 4
# ZnCd3Ag3

A relaxed ZnCd3Ag3 crystal (PBE, Alexandria via LeMat-Bulk).

Cell and atoms, written as POSCAR:
```
ZnCd3Ag3
1.0
4.740 -4.844 0.000
4.740 4.844 0.000
0.000 0.000 6.047
Zn Cd Ag
2 6 6
direct
0.245 0.755 0.000
0.755 0.245 0.000
0.265 0.735 0.500
0.271 0.271 0.500
0.329 0.329 0.000
0.671 0.671 0.000
0.729 0.729 0.500
0.735 0.265 0.500
0.000 0.000 0.240
0.000 0.000 0.760
0.000 0.500 0.238
0.000 0.500 0.762
0.500 0.000 0.238
0.500 0.000 0.762
```

Energy of formation ... -0.002 eV/atom
Energy above the most stable polymorph in this dataset ... 0 meV/atom
Crystal system ... orthorhombic

---

# 5
# CoSi2Pd

A relaxed CoSi2Pd crystal (PBE, Alexandria via LeMat-Bulk).

Cell and atoms, written as POSCAR:
```
CoSi2Pd
1.0
-1.921 1.921 7.732
1.921 -1.921 7.732
1.921 1.921 -7.732
Co Si Pd
2 4 2
direct
0.000 0.000 0.000
0.750 0.250 0.500
0.088 0.625 0.963
0.375 0.338 0.463
0.662 0.125 0.037
0.875 0.912 0.537
0.250 0.750 0.500
0.500 0.500 0.000
```

Uncorrected formation energy ... -0.6 eV/f.u.
Energy above the most stable polymorph in this dataset ... 219 meV/atom
Crystal system ... tetragonal

---

# 6
# LaDyGa2Ni2

A relaxed LaDyGa2Ni2 crystal (PBE, Alexandria via LeMat-Bulk).

Cell and atoms, written as POSCAR:
```
LaDyGa2Ni2
1.0
4.351 0.000 0.000
-2.176 3.768 0.000
0.000 0.000 7.260
La Dy Ga Ni
1 1 2 2
direct
0.000 0.000 0.000
0.000 0.000 0.500
0.333 0.667 0.278
0.667 0.333 0.722
0.333 0.667 0.720
0.667 0.333 0.280
```

Energy of formation ... -0.574 eV/atom
Crystal system ... trigonal

---

# 7
# PaI2Cl3

A relaxed PaI2Cl3 crystal (PBE, Alexandria via LeMat-Bulk).

Cell and atoms, written as POSCAR:
```
PaI2Cl3
1.0
-2.715 4.231 7.279
2.715 -4.231 7.279
2.715 4.231 -7.279
Pa I Cl
1 2 3
direct
0.000 0.000 0.000
0.101 0.859 0.242
0.617 0.859 0.758
0.330 0.121 0.209
0.911 0.121 0.791
0.999 0.499 0.500
```

Uncorrected formation energy ... -8.7 eV/f.u.
Crystal system ... orthorhombic

---

# 8
# Rb2TlIrN

A relaxed Rb2TlIrN crystal (PBE, Alexandria via LeMat-Bulk).

Cell and atoms, written as POSCAR:
```
Rb2TlIrN
1.0
6.389 0.000 0.000
0.000 6.389 0.000
0.000 0.000 3.725
Rb Tl Ir N
2 1 1 1
direct
0.000 0.500 0.000
0.500 0.000 0.000
0.000 0.000 0.500
0.500 0.500 0.500
0.500 0.500 0.000
```

Uncorrected formation energy ... 0.5 eV/f.u.
Crystal system ... tetragonal

---

# 9
# K2Sn2As2O

A relaxed K2Sn2As2O crystal (PBE, Alexandria via LeMat-Bulk).

Cell and atoms, written as POSCAR:
```
K2Sn2As2O
1.0
6.490 -2.380 0.000
6.490 2.380 0.000
-4.077 0.000 6.458
K Sn As O
2 2 2 1
direct
0.052 0.052 0.297
0.948 0.948 0.703
0.314 0.314 0.914
0.686 0.686 0.086
0.312 0.312 0.274
0.688 0.688 0.726
0.500 0.500 0.000
```

Uncorrected formation energy ... -4.3 eV/f.u.
Crystal system ... monoclinic

---

# 10
# MgPt4Au

A relaxed MgPt4Au crystal (PBE, Alexandria via LeMat-Bulk).

Cell and atoms, written as POSCAR:
```
MgPt4Au
1.0
0.000 3.745 3.745
3.745 0.000 3.745
3.745 3.745 0.000
Mg Pt Au
1 4 1
direct
0.000 0.000 0.000
0.375 0.375 0.375
0.375 0.375 0.875
0.375 0.875 0.375
0.875 0.375 0.375
0.750 0.750 0.750
```

Energy of formation ... -0.244 eV/atom
Crystal system ... cubic

---

# 11
# Ba2PrNp3N8

A relaxed Ba2PrNp3N8 crystal (PBE, Alexandria via LeMat-Bulk).

Cell and atoms, written as POSCAR:
```
Ba2PrNp3N8
1.0
3.504 2.023 6.469
-3.504 2.023 6.469
0.000 -4.046 6.469
Ba Pr Np N
2 1 3 8
direct
0.000 0.000 0.000
0.360 0.360 0.360
0.819 0.819 0.819
0.362 0.362 0.858
0.362 0.858 0.362
0.858 0.362 0.362
0.087 0.087 0.558
0.087 0.558 0.087
0.143 0.143 0.143
0.188 0.610 0.610
0.558 0.087 0.087
0.577 0.577 0.577
0.610 0.188 0.610
0.610 0.610 0.188
```

Uncorrected formation energy ... -14.0 eV/f.u.
Crystal system ... trigonal

---

# 12
# TcOs

A relaxed TcOs crystal (PBE, Alexandria via LeMat-Bulk).

Cell and atoms, written as POSCAR:
```
TcOs
1.0
-1.932 1.932 3.876
1.932 -1.932 3.876
1.932 1.932 -3.876
Tc Os
2 2
direct
0.375 0.625 0.750
0.625 0.375 0.250
0.125 0.875 0.250
0.875 0.125 0.750
```

Energy of formation ... 0.061 eV/atom
Energy above the most stable polymorph in this dataset ... 147 meV/atom
Crystal system ... tetragonal